# SmTm2Ti PBE-GGA relaxed
data_SmTm2Ti
_chemical_formula_sum 'Sm1 Tm2 Ti1'
_cell_length_a 3.3571
_cell_length_b 3.3571
_cell_length_c 9.7014
_cell_angle_alpha 90.00
_cell_angle_beta 90.00
_cell_angle_gamma 90.00
_symmetry_space_group_name_H-M 'P 4/m m m'
_symmetry_Int_Tables_number 123
_symmetry_space_group_name_Hall '-P 4 2'
loop_
_atom_site_label
_atom_site_type_symbol
_atom_site_fract_x
_atom_site_fract_y
_atom_site_fract_z
Sm1 Sm 0.0000 0.0000 0.0000
Tm1 Tm 0.5000 0.5000 0.2864
Ti1 Ti 0.0000 0.0000 0.5000
# Energy of formation from the pure elements, kJ/mol of formula units: 56.1
# Total magnetic moment, μB/f.u.: 0.00
# E_tot, eV per atom: -5.244
# Excess energy over the best structure of this formula in the dataset, meV per atom: 0
# Calculated volume, A^3/atom: 27.3
# Crystal system: tetragonal